1.
Density functional theory data (GGA-PBE) for a relaxed structure of V2Cr2I.

## Properties
- Final energy: -7.026 eV/atom
- DOS(E_F): 2.51 states/eV/cell
- Spin magnetization: 3.1 μB/cell

Unit cell a=3.693 b=3.693 c=7.575 alpha=75.89 beta=75.89 gamma=90.00
Site moments in Bohr magnetons follow the coordinates.
Fractional coordinates of all 5 atoms:
Cr  0.371  0.371  0.257  2.80
V  0.750  0.250  0.500  -1.30
V  0.250  0.750  0.500  -1.30
I  0.000  0.000  0.000  -0.02
Cr  0.629  0.629  0.743  2.80

2.
Density functional theory data (GGA-PBE) for a relaxed structure of VCrI4.

## Properties
- Final energy: -4.525 eV/atom
- DOS(E_F): 3.85 states/eV/cell
- Spin magnetization: 7.0 μB/cell

Unit cell a=4.092 b=7.176 c=8.544 alpha=117.07 beta=103.85 gamma=90.00
Site moments in Bohr magnetons follow the coordinates.
Fractional coordinates of all 6 atoms:
V  0.000  0.000  0.000  2.57
Cr  0.500  0.500  0.000  3.75
I  0.390  0.725  0.781  -0.04
I  0.893  0.213  0.787  -0.06
I  0.610  0.275  0.219  -0.04
I  0.107  0.787  0.213  -0.06

3.
Density functional theory data (GGA-PBE) for a relaxed structure of VCrI6.

## Properties
- Final energy: -3.831 eV/atom
- DOS(E_F): 6.61 states/eV/cell
- Spin magnetization: 5.0 μB/cell

Unit cell a=6.895 b=7.558 c=7.558 alpha=125.74 beta=98.89 gamma=98.89
Site moments in Bohr magnetons follow the coordinates.
Fractional coordinates of all 8 atoms:
Cr  0.500  0.500  0.500  3.26
I  0.253  0.395  0.112  -0.08
I  0.244  0.756  0.756  -0.13
V  0.000  0.000  0.000  1.93
I  0.253  0.112  0.395  -0.08
I  0.747  0.605  0.888  -0.08
I  0.747  0.888  0.605  -0.08
I  0.756  0.244  0.244  -0.13

4.
Density functional theory data (GGA-PBE) for a relaxed structure of VCr3I.

## Properties
- Final energy: -5.877 eV/atom
- DOS(E_F): 8.61 states/eV/cell
- Spin magnetization: 15.1 μB/cell

Unit cell a=5.034 b=5.034 c=5.034 alpha=90.00 beta=90.00 gamma=90.00
Site moments in Bohr magnetons follow the coordinates.
Fractional coordinates of all 5 atoms:
I  0.000  0.000  0.000  -0.02
Cr  0.000  0.500  0.000  3.62
Cr  0.000  0.000  0.500  3.62
V  0.500  0.500  0.500  2.70
Cr  0.500  0.000  0.000  3.62